# 1
{"formula": "InGaHgI2", "functional": "PBE-GGA", "state": "relaxed", "lattice": [[6.122, 0.000, 0.000], [0.000, 6.122, 0.000], [0.000, 0.000, 5.259]], "species": ["In", "Ga", "Hg", "I", "I"], "frac_coords": [[0.500, 0.500, 0.500], [0.000, 0.000, 0.000], [0.000, 0.000, 0.500], [0.000, 0.500, 0.000], [0.500, 0.000, 0.000]], "volume_a3_per_cell": 197, "e_tot_ev_per_atom": -2.053, "e_form_raw_mev_per_atom": -220, "de_polymorph_mev_per_atom": 52, "space_group": "P4/mmm (123)"}


# 2
{"formula": "Na5B7C3", "functional": "PBE-GGA", "state": "relaxed", "lattice": [[8.544, 0.222, -3.029], [8.004, 2.998, -3.029], [-0.798, -0.155, 13.361]], "species": ["B", "B", "B", "B", "B", "B", "B", "B", "B", "B", "B", "B", "B", "B", "Na", "Na", "Na", "Na", "Na", "Na", "Na", "Na", "Na", "Na", "C", "C", "C", "C", "C", "C"], "frac_coords": [[0.226, 0.226, 0.202], [0.971, 0.971, 0.691], [0.769, 0.769, 0.290], [0.633, 0.633, 0.517], [0.767, 0.767, 0.785], [0.564, 0.564, 0.878], [0.226, 0.226, 0.704], [0.158, 0.158, 0.066], [0.430, 0.430, 0.109], [0.378, 0.378, 0.506], [0.836, 0.836, 0.921], [0.039, 0.039, 0.328], [0.970, 0.970, 0.189], [0.834, 0.834, 0.419], [0.799, 0.799, 0.602], [0.200, 0.200, 0.898], [0.999, 0.999, 0.998], [0.199, 0.199, 0.400], [0.399, 0.399, 0.801], [0.002, 0.002, 0.502], [0.599, 0.599, 0.199], [0.799, 0.799, 0.097], [0.601, 0.601, 0.701], [0.401, 0.401, 0.300], [0.628, 0.628, 0.004], [0.164, 0.164, 0.580], [0.368, 0.368, 0.984], [0.032, 0.032, 0.815], [0.439, 0.439, 0.626], [0.569, 0.569, 0.390]], "volume_a3_per_cell": 312, "e_tot_ev_per_atom": -5.279, "de_polymorph_mev_per_atom": 8, "space_group": "Cm (8)"}